No. 1
A relaxed structure of TlAs2CBr, computed with PBE.

Values from the calculation:
total DFT energy (no corrections): -18.512 eV per cell
energy relative to the elements, uncorrected: 810 meV per atom
M_tot: 0.102 μB per formula unit
symmetry: P4/mmm, No. 123

Cell lengths 4.260, 4.260, 8.033 Å; angles 90.00, 90.00, 90.00 degrees
Fractional positions:
1 C 0.000 0.000 0.000
2 Tl 0.500 0.500 0.500
3 As 0.000 0.500 0.000
4 As 0.500 0.000 0.000
5 Br 0.000 0.000 0.500

***

No. 2
A relaxed structure of MnCu6, computed with PBE.

Values from the calculation:
total DFT energy (no corrections): -26.923 eV per cell
M_tot: 4.666 μB per formula unit
symmetry: Im-3m, No. 229
energy relative to the elements: 94.1 kJ per mole of atoms

Cell lengths 5.529, 5.529, 5.529 Å; angles 109.47, 109.47, 109.47 degrees
Last column: magnetic moment on the atom in μB.
Fractional positions:
1 Mn 0.000 0.000 0.000  4.42
2 Cu 0.250 0.750 0.500  0.00
3 Cu 0.500 0.750 0.250  0.00
4 Cu 0.250 0.500 0.750  0.00
5 Cu 0.750 0.250 0.500  0.00
6 Cu 0.500 0.250 0.750  0.00
7 Cu 0.750 0.500 0.250  0.00

***

No. 3
A relaxed structure of TlCu2Br, computed with PBE.

Values from the calculation:
total DFT energy (no corrections): -10.525 eV per cell
energy relative to the elements, uncorrected: 427 meV per atom
M_tot: 0.000 μB per formula unit
symmetry: P4/mmm, No. 123

Cell lengths 3.848, 4.589, 4.589 Å; angles 90.00, 90.00, 90.00 degrees
Fractional positions:
1 Br 0.500 0.000 0.500
2 Cu 0.000 0.000 0.000
3 Cu 0.000 0.500 0.500
4 Tl 0.500 0.500 0.000

***

The lowest total DFT energy (no corrections) belongs to which entry? MnCu6